Entry 1:
{"formula": "Ag2PbI2", "functional": "PBE", "state": "optimized geometry", "cell": [[-0.133, 0.223, 3.933], [-2.601, -2.960, 0.080], [6.935, -8.645, 2.700]], "species": ["Pb", "I", "I", "Ag", "Ag"], "frac_coords": [[0.000, 0.000, 0.000], [0.411, 0.411, 0.177], [0.589, 0.589, 0.823], [0.750, 0.250, 0.500], [0.250, 0.750, 0.500]], "vol_a3_per_cell": 171.88, "e_tot_ev_per_atom": -2.50}

=====

Entry 2:
{"formula": "Ru2W", "functional": "PBE", "state": "optimized geometry", "cell": [[6.148, 0.003, 0.000], [4.915, 3.693, 0.000], [-5.531, -1.848, 1.945]], "species": ["Ru", "Ru", "W"], "frac_coords": [[0.003, 0.003, 0.000], [0.663, 0.663, 0.000], [0.333, 0.333, 0.000]], "formation_enthalpy_0k_kj_per_mol_atoms": 9.9, "vol_a3_per_cell": 44.14, "e_tot_ev_per_atom": -10.40}

=====

Entry 3:
{"formula": "Li3SnO4", "functional": "PBE", "state": "optimized geometry", "cell": [[-0.456, -1.496, 2.682], [-4.117, -2.455, -2.069], [4.330, -2.798, -0.824]], "species": ["Li", "Li", "Li", "Sn", "O", "O", "O", "O"], "frac_coords": [[0.000, 0.000, 0.500], [0.500, 0.500, 0.500], [0.000, 0.500, 0.000], [0.500, 0.000, 0.000], [0.000, 0.238, 0.238], [0.500, 0.757, 0.243], [0.000, 0.762, 0.762], [0.500, 0.243, 0.757]], "vol_a3_per_cell": 79.59, "e_tot_ev_per_atom": -5.34}

=====

Entry 4:
{"formula": "BeTcIr", "functional": "PBE", "state": "optimized geometry", "cell": [[2.735, 0.005, 0.002], [1.354, 4.458, -0.004], [1.362, 1.780, 6.175]], "species": ["Be", "Be", "Ir", "Ir", "Tc", "Tc"], "frac_coords": [[0.298, 0.699, 0.331], [0.927, 0.264, 0.508], [0.612, 0.186, 0.215], [0.614, 0.776, 0.624], [0.961, 0.713, 0.994], [0.265, 0.250, 0.846]], "formation_enthalpy_0k_kj_per_mol_atoms": -24.2, "relative_energy_kj_per_mol_fu": 33.7, "vol_a3_per_cell": 75.27, "e_tot_ev_per_atom": -7.90}

=====

Entry 5:
{"formula": "Tl2SnBr4F2", "functional": "PBE", "state": "optimized geometry", "cell": [[-2.110, -0.792, 6.860], [-2.699, -6.258, 2.040], [4.102, -3.775, 4.419]], "species": ["Tl", "Tl", "Sn", "Br", "Br", "Br", "Br", "F", "F"], "frac_coords": [[0.206, 0.737, 0.737], [0.794, 0.263, 0.263], [0.500, 0.000, 0.000], [0.295, 0.710, 0.201], [0.705, 0.799, 0.290], [0.705, 0.290, 0.799], [0.295, 0.201, 0.710], [0.235, 0.197, 0.197], [0.765, 0.803, 0.803]], "vol_a3_per_cell": 272.03, "e_tot_ev_per_atom": -3.38}

=====

Entry 6:
{"formula": "LiSc2Ru", "functional": "PBE", "state": "optimized geometry", "cell": [[5.332, 0.013, 0.020], [4.327, 3.117, 0.020], [1.419, 0.460, 4.419]], "species": ["Li", "Ru", "Sc", "Sc"], "frac_coords": [[0.529, 0.529, 0.502], [0.247, 0.247, 0.209], [0.969, 0.969, 0.067], [0.755, 0.755, 0.721]], "formation_enthalpy_0k_kj_per_mol_atoms": -15.3, "relative_energy_kj_per_mol_fu": 79.4, "vol_a3_per_cell": 73.11, "e_tot_ev_per_atom": -6.12}

=====

Entry 7:
{"formula": "ReSbAu2", "functional": "PBE", "state": "optimized geometry", "cell": [[2.900, 0.036, 0.000], [-1.263, 2.611, 0.000], [0.000, 0.000, 10.252]], "species": ["Au", "Au", "Re", "Sb"], "frac_coords": [[0.000, 0.000, 0.024], [0.500, 0.500, 0.264], [0.000, 0.000, 0.493], [0.500, 0.500, 0.720]], "vol_a3_per_cell": 78.09, "e_tot_ev_per_atom": -5.20}

=====

Entry 8:
{"formula": "YAsBr", "functional": "PBE", "state": "optimized geometry", "cell": [[4.899, 0.000, 0.000], [-2.449, 4.242, 0.000], [0.000, 0.000, 3.528]], "species": ["Y", "As", "Br"], "frac_coords": [[0.667, 0.333, 0.500], [0.000, 0.000, 0.000], [0.333, 0.667, 0.500]], "relative_energy_kj_per_mol_fu": 160.8, "vol_a3_per_cell": 73.32, "e_tot_ev_per_atom": -5.08}

=====

Entry 9:
{"formula": "Ca2PmMgS4", "functional": "PBE", "state": "optimized geometry", "cell": [[-2.387, 3.137, -0.149], [-4.005, -2.818, 4.848], [4.867, 3.845, 2.979]], "species": ["Ca", "Ca", "Pm", "Mg", "S", "S", "S", "S"], "frac_coords": [[0.500, 0.000, 0.500], [0.000, 0.500, 0.500], [0.500, 0.500, 0.000], [0.000, 0.000, 0.000], [0.500, 0.233, 0.235], [0.500, 0.767, 0.765], [0.000, 0.241, 0.754], [0.000, 0.759, 0.246]], "vol_a3_per_cell": 176.24, "e_tot_ev_per_atom": -5.22}

=====

Entry 10:
{"formula": "Rb2AcPuS4", "functional": "PBE", "state": "optimized geometry", "cell": [[4.312, 0.000, 0.000], [0.000, 7.495, 0.130], [0.000, -2.627, 7.649]], "species": ["Rb", "Rb", "Ac", "Pu", "S", "S", "S", "S"], "frac_coords": [[0.500, 0.000, 0.500], [0.000, 0.500, 0.500], [0.000, 0.000, 0.000], [0.500, 0.500, 0.000], [0.500, 0.247, 0.202], [0.500, 0.753, 0.798], [0.000, 0.284, 0.808], [0.000, 0.716, 0.192]], "vol_a3_per_cell": 248.73, "e_tot_ev_per_atom": -6.30}

=====

Entry 11:
{"formula": "Ti2VTe4", "functional": "PBE", "state": "optimized geometry", "cell": [[7.369, -0.017, 0.050], [6.346, 3.746, 0.050], [3.254, 0.885, 6.142]], "species": ["Ti", "Ti", "V", "Te", "Te", "Te", "Te"], "frac_coords": [[0.002, 0.002, 0.998], [0.247, 0.247, 0.709], [0.752, 0.752, 0.290], [0.111, 0.111, 0.542], [0.890, 0.890, 0.452], [0.364, 0.364, 0.967], [0.635, 0.635, 0.043]], "relative_energy_kj_per_mol_fu": 10.4, "vol_a3_per_cell": 169.53, "e_tot_ev_per_atom": -5.94}

=====

Entry 12:
{"formula": "K3Ta5", "functional": "PBE", "state": "optimized geometry", "cell": [[-9.473, -1.732, 6.709], [9.032, -7.473, 0.559], [2.012, 2.697, 3.537]], "species": ["K", "K", "K", "K", "K", "K", "Ta", "Ta", "Ta", "Ta", "Ta", "Ta", "Ta", "Ta", "Ta", "Ta"], "frac_coords": [[0.626, 0.000, 0.250], [0.374, 0.000, 0.750], [0.000, 0.626, 0.250], [0.374, 0.374, 0.250], [0.626, 0.626, 0.750], [0.000, 0.374, 0.750], [0.333, 0.667, 0.000], [0.667, 0.333, 0.500], [0.667, 0.333, 0.000], [0.333, 0.667, 0.500], [0.130, 0.000, 0.250], [0.870, 0.000, 0.750], [0.000, 0.130, 0.250], [0.870, 0.870, 0.250], [0.130, 0.130, 0.750], [0.000, 0.870, 0.750]], "formation_enthalpy_0k_kj_per_mol_atoms": 147.5, "relative_energy_kj_per_mol_fu": 160.0, "vol_a3_per_cell": 582.35, "e_tot_ev_per_atom": -6.29}